A relaxed structure of Rb2NaIn4Bi3. Source: the Alexandria database, functional PBE.

Calculated total energy: -2.758 eV/atom
Crystal system: tetragonal
N(E_F): 0.3890 states/eV/atom
Size of the total moment: 0.0 μB/f.u.
Volume: 374.9 Å³ per cell

```
Rb2NaIn4Bi3
1.0
5.1438 0.0000 0.0000
0.0000 5.1438 0.0000
0.0000 0.0000 14.1712
Rb Bi Na In
2 3 1 4
direct
0.0000 0.5000 0.7552
0.5000 0.0000 0.2448
0.0000 0.0000 0.5000
0.5000 0.0000 0.8717
0.0000 0.5000 0.1283
0.5000 0.5000 0.5000
0.0000 0.0000 0.0000
0.5000 0.5000 0.0000
0.0000 0.5000 0.3640
0.5000 0.0000 0.6360
```

***

A relaxed structure of CaTcSe2. Source: the Alexandria database, functional PBE.

Calculated total energy: -5.418 eV/atom
Crystal system: orthorhombic
N(E_F): 0.8067 states/eV/atom
Energy relative to the elements, uncorrected: -0.58 eV/atom
Size of the total moment: 0.0 μB/f.u.
Volume: 81.8 Å³ per cell

```
CaTcSe2
1.0
-3.3724 0.2720 -6.0211
0.2095 -3.2787 -6.0751
-0.0603 -0.2095 6.9031
Se Ca Tc
2 1 1
direct
0.9700 0.9700 0.0000
0.6868 0.1868 0.5000
0.2924 0.7924 0.5000
0.5508 0.5508 0.0000
```

***

A relaxed structure of Pm3Tl3Cd. Source: the Alexandria database, functional PBE.

Calculated total energy: -3.503 eV/atom
Crystal system: monoclinic
N(E_F): 0.8385 states/eV/atom
Size of the total moment: 0.0 μB/f.u.
Volume: 411.0 Å³ per cell

```
Pm3Tl3Cd
1.0
4.7364 0.0000 0.7135
2.3284 5.8790 0.6209
0.1924 0.2581 14.8008
Pm Tl Cd
6 6 2
direct
0.6002 0.7219 0.0778
0.4697 0.6798 0.3808
0.7310 0.7583 0.7796
0.2690 0.2417 0.2204
0.3998 0.2781 0.9222
0.5303 0.3202 0.6192
0.8662 0.7200 0.5475
0.8758 0.1748 0.0736
0.9904 0.7899 0.2293
0.1338 0.2800 0.4525
0.1242 0.8252 0.9264
0.0096 0.2101 0.7707
0.2352 0.9136 0.6160
0.7648 0.0864 0.3840
```

***

A relaxed structure of PuPaSe3. Source: the Alexandria database, functional PBE.

Calculated total energy: -8.328 eV/atom
Crystal system: orthorhombic
N(E_F): 2.3399 states/eV/atom
Energy relative to the elements, uncorrected: -1.47 eV/atom
Size of the total moment: 6.9 μB/f.u.
Volume: 502.1 Å³ per cell

```
PuPaSe3
1.0
4.0853 0.0000 0.0000
0.0000 7.7723 0.0000
0.0000 0.0000 15.8120
Pa Se Pu
4 12 4
direct
0.7500 0.7420 0.0425
0.7500 0.2420 0.4575
0.2500 0.2580 0.9575
0.2500 0.7580 0.5425
0.2500 0.1721 0.7791
0.2500 0.5038 0.1019
0.2500 0.8769 0.9306
0.7500 0.3279 0.2791
0.7500 0.4962 0.8981
0.2500 0.6721 0.7209
0.2500 0.0038 0.3981
0.2500 0.3769 0.5694
0.7500 0.1231 0.0694
0.7500 0.9962 0.6019
0.7500 0.6231 0.4306
0.7500 0.8279 0.2209
0.7500 0.8968 0.7909
0.7500 0.3968 0.7091
0.2500 0.6032 0.2909
0.2500 0.1032 0.2091
```